Record 1
Computed, not measured: an optimized crystal structure of Tl2Cd3 at the PBE level of DFT.

Cell: 11.744 27.233 3.337 Å, 90.00 90.00 90.00°
Space group Fdd2 (No. 43)
Inequivalent atoms, fractional coordinates:
Tl  0.039  0.303  0.000 (multiplicity 16)
Cd  0.000  0.000  0.324 (multiplicity 8)
Cd  0.052  0.406  0.371 (multiplicity 16)

Values from the calculation:
calculated formation energy	0.25	eV per formula unit
crystal system	orthorhombic
calculated volume	1067.3	Å³/cell
size of the total moment	0.00	μB per atom
excess energy over the best structure of this formula in the dataset	15	meV/atom

=====

Record 2
Computed, not measured: an optimized crystal structure of ZnB3Ru at the PBE level of DFT.

Cell: 4.084 4.084 4.084 Å, 90.00 90.00 90.00°
Space group Pm-3m (No. 221)
Inequivalent atoms, fractional coordinates:
Zn  0.000  0.000  0.000 (multiplicity 1)
B  0.000  0.500  0.500 (multiplicity 3)
Ru  0.500  0.500  0.500 (multiplicity 1)

Values from the calculation:
calculated formation energy	5.18	eV per formula unit
crystal system	cubic
calculated volume	68.1	Å³/cell
size of the total moment	0.00	μB per atom
excess energy over the best structure of this formula in the dataset	0	meV/atom

=====

Record 3
Computed, not measured: an optimized crystal structure of RbPOF2 at the PBE level of DFT.

Cell: 4.870 4.870 4.398 Å, 90.00 90.00 90.00°
Space group P4/mmm (No. 123)
Inequivalent atoms, fractional coordinates:
Rb  0.000  0.000  0.000 (multiplicity 1)
P  0.500  0.500  0.500 (multiplicity 1)
O  0.000  0.000  0.500 (multiplicity 1)
F  0.000  0.500  0.000 (multiplicity 2)

Values from the calculation:
crystal system	tetragonal
calculated volume	104.3	Å³/cell
size of the total moment	0.00	μB per atom
excess energy over the best structure of this formula in the dataset	2091	meV/atom

=====

Record 4
Computed, not measured: an optimized crystal structure of KWSe2Cl at the PBE level of DFT.

Cell: 4.796 4.796 9.145 Å, 90.00 90.00 90.00°
Space group P4/mmm (No. 123)
Inequivalent atoms, fractional coordinates:
K  0.000  0.000  0.000 (multiplicity 1)
W  0.000  0.000  0.500 (multiplicity 1)
Se  0.000  0.500  0.500 (multiplicity 2)
Cl  0.500  0.500  0.000 (multiplicity 1)

Values from the calculation:
crystal system	tetragonal
calculated volume	210.4	Å³/cell
size of the total moment	0.29	μB per atom
VASP energy	-24.04	eV per cell